Entry 1:
# PBE UTlO3, optimized geometry
data_UTlO3
_chemical_formula_sum 'U1 Tl1 O3'
_space_group_name_H-M_alt 'P m -3 m'
_space_group_IT_number 221
_space_group_name_Hall '-P 4 2 3'
_cell_length_a 4.3562
_cell_length_b 4.3562
_cell_length_c 4.3562
_cell_angle_alpha 90.00
_cell_angle_beta 90.00
_cell_angle_gamma 90.00
loop_
_atom_site_label
_atom_site_type_symbol
_atom_site_fract_x
_atom_site_fract_y
_atom_site_fract_z
_atom_site_occupancy
U1 U 0.0000 0.0000 0.0000 1
Tl1 Tl 0.5000 0.5000 0.5000 1
O1 O 0.0000 0.0000 0.5000 1
# Total DFT energy (no corrections) in eV/cell: -41.091
# Uncorrected formation energy in meV per atom: -2512
# M_tot in μB per atom: 0.200
# Density of states at the Fermi level in states/eV per atom: 0.006

Entry 2:
# PBE MnSn3Pd5, optimized geometry
data_MnSn3Pd5
_chemical_formula_sum 'Mn2 Sn6 Pd10'
_space_group_name_H-M_alt 'P 63/m c m'
_space_group_IT_number 193
_space_group_name_Hall '-P 6c 2'
_cell_length_a 7.9399
_cell_length_b 7.9399
_cell_length_c 5.6984
_cell_angle_alpha 90.00
_cell_angle_beta 90.00
_cell_angle_gamma 120.00
loop_
_atom_site_label
_atom_site_type_symbol
_atom_site_fract_x
_atom_site_fract_y
_atom_site_fract_z
_atom_site_occupancy
Mn1 Mn 0.0000 0.0000 0.0000 1
Sn1 Sn 0.0000 0.3609 0.2500 1
Pd1 Pd 0.0000 0.3008 0.7500 1
Pd2 Pd 0.3333 0.6667 0.0000 1
# Total DFT energy (no corrections) in eV/cell: -102.271
# Calculated formation energy in meV/atom: -443.7
# M_tot in μB per atom: 0.454
# Density of states at the Fermi level in states/eV per atom: 0.251

Entry 3:
# PBE HfTeN3, optimized geometry
data_HfTeN3
_chemical_formula_sum 'Hf1 Te1 N3'
_space_group_name_H-M_alt 'P m -3 m'
_space_group_IT_number 221
_space_group_name_Hall '-P 4 2 3'
_cell_length_a 3.9512
_cell_length_b 3.9512
_cell_length_c 3.9512
_cell_angle_alpha 90.00
_cell_angle_beta 90.00
_cell_angle_gamma 90.00
loop_
_atom_site_label
_atom_site_type_symbol
_atom_site_fract_x
_atom_site_fract_y
_atom_site_fract_z
_atom_site_occupancy
Hf1 Hf 0.0000 0.0000 0.0000 1
Te1 Te 0.5000 0.5000 0.5000 1
N1 N 0.0000 0.5000 0.5000 1
# Total DFT energy (no corrections) in eV/cell: -33.618
# Uncorrected formation energy in meV per atom: 891
# M_tot in μB per atom: 0.000
# Density of states at the Fermi level in states/eV per atom: 0.273

Entry 4:
# PBE GeTe2HI, optimized geometry
data_GeTe2HI
_chemical_formula_sum 'Ge1 Te2 H1 I1'
_space_group_name_H-M_alt 'P 4/m m m'
_space_group_IT_number 123
_space_group_name_Hall '-P 4 2'
_cell_length_a 4.4455
_cell_length_b 4.4455
_cell_length_c 6.4889
_cell_angle_alpha 90.00
_cell_angle_beta 90.00
_cell_angle_gamma 90.00
loop_
_atom_site_label
_atom_site_type_symbol
_atom_site_fract_x
_atom_site_fract_y
_atom_site_fract_z
_atom_site_occupancy
Ge1 Ge 0.0000 0.0000 0.0000 1
Te1 Te 0.0000 0.5000 0.5000 1
H1 H 0.5000 0.5000 0.5000 1
I1 I 0.5000 0.5000 0.0000 1
# Total DFT energy (no corrections) in eV/cell: -13.503
# M_tot in μB per atom: 0.000
# Density of states at the Fermi level in states/eV per atom: 0.642

Entry 5:
# PBE NaErP2O6, optimized geometry
data_NaErP2O6
_chemical_formula_sum 'Na4 Er4 P8 O24'
_space_group_name_H-M_alt 'C 1 2/c 1'
_space_group_IT_number 15
_space_group_name_Hall '-C 2yc'
_cell_length_a 7.0617
_cell_length_b 11.2862
_cell_length_c 8.4602
_cell_angle_alpha 90.00
_cell_angle_beta 98.45
_cell_angle_gamma 90.00
loop_
_atom_site_label
_atom_site_type_symbol
_atom_site_fract_x
_atom_site_fract_y
_atom_site_fract_z
_atom_site_occupancy
Na1 Na 0.0000 0.0982 0.2500 1
Er1 Er 0.0000 0.3536 0.7500 1
P1 P 0.1291 0.3696 0.1913 1
O1 O 0.0693 0.3539 0.0115 1
O2 O 0.2168 0.4933 0.2355 1
O3 O 0.2460 0.2349 0.7365 1
# Total DFT energy (no corrections) in eV/cell: -288.279
# Uncorrected formation energy in meV per atom: -2562
# M_tot in μB per atom: 0.000
# Density of states at the Fermi level in states/eV per atom: 0.000

Entry 6:
# PBE HfNiPd3, optimized geometry
data_HfNiPd3
_chemical_formula_sum 'Hf1 Ni1 Pd3'
_space_group_name_H-M_alt 'P m -3 m'
_space_group_IT_number 221
_space_group_name_Hall '-P 4 2 3'
_cell_length_a 4.5188
_cell_length_b 4.5188
_cell_length_c 4.5188
_cell_angle_alpha 90.00
_cell_angle_beta 90.00
_cell_angle_gamma 90.00
loop_
_atom_site_label
_atom_site_type_symbol
_atom_site_fract_x
_atom_site_fract_y
_atom_site_fract_z
_atom_site_occupancy
Hf1 Hf 0.0000 0.0000 0.0000 1
Ni1 Ni 0.5000 0.5000 0.5000 1
Pd1 Pd 0.0000 0.5000 0.5000 1
# Total DFT energy (no corrections) in eV/cell: -29.153
# Calculated formation energy in meV/atom: 432.0
# M_tot in μB per atom: 0.000
# Density of states at the Fermi level in states/eV per atom: 0.675

Entry 7:
# PBE LiCuBr, optimized geometry
data_LiCuBr
_chemical_formula_sum 'Li1 Cu1 Br1'
_space_group_name_H-M_alt 'P 3 m 1'
_space_group_IT_number 156
_space_group_name_Hall 'P 3 -2"'
_cell_length_a 3.4878
_cell_length_b 3.4878
_cell_length_c 5.6481
_cell_angle_alpha 90.00
_cell_angle_beta 90.00
_cell_angle_gamma 120.00
loop_
_atom_site_label
_atom_site_type_symbol
_atom_site_fract_x
_atom_site_fract_y
_atom_site_fract_z
_atom_site_occupancy
Li1 Li 0.0000 0.0000 0.0000 1
Cu1 Cu 0.6667 0.3333 0.6201 1
Br1 Br 0.3333 0.6667 0.2884 1
# Total DFT energy (no corrections) in eV/cell: -8.198
# Uncorrected formation energy in meV per atom: -172
# M_tot in μB per atom: 0.000
# Density of states at the Fermi level in states/eV per atom: 0.375

Entry 8:
# PBE GaTeSe2, optimized geometry
data_GaTeSe2
_chemical_formula_sum 'Ga2 Te2 Se4'
_space_group_name_H-M_alt 'P 1'
_space_group_IT_number 1
_space_group_name_Hall 'P 1'
_cell_length_a 6.7171
_cell_length_b 6.7816
_cell_length_c 7.2739
_cell_angle_alpha 66.83
_cell_angle_beta 74.79
_cell_angle_gamma 61.21
loop_
_atom_site_label
_atom_site_type_symbol
_atom_site_fract_x
_atom_site_fract_y
_atom_site_fract_z
_atom_site_occupancy
Ga1 Ga 0.0000 0.0000 0.0000 1
Ga2 Ga 0.3626 0.3744 0.0008 1
Te1 Te 0.1909 0.3619 0.5716 1
Te2 Te 0.3615 0.6682 0.6052 1
Se1 Se 0.0204 0.5990 0.1804 1
Se2 Se 0.3643 0.0371 0.9432 1
Se3 Se 0.6935 0.2890 0.1341 1
Se4 Se 0.9874 0.0349 0.6449 1
# Total DFT energy (no corrections) in eV/cell: -28.779
# Uncorrected formation energy in meV per atom: -313
# M_tot in μB per atom: 0.000